[1]
# PBE-GGA SrCuMo2, relaxed
data_SrCuMo2
_space_group_name_H-M_alt 'P 4 m m'
_space_group_IT_number 99
_cell_length_a 3.286
_cell_length_b 3.286
_cell_length_c 7.475
_cell_angle_alpha 90.00
_cell_angle_beta 90.00
_cell_angle_gamma 90.00
loop_
_space_group_symop_operation_xyz
'x,y,z'
'-y,x,z'
'-x,-y,z'
'y,-x,z'
'-x,y,z'
'y,x,z'
'x,-y,z'
'-y,-x,z'
loop_
_atom_site_label
_atom_site_type_symbol
_atom_site_fract_x
_atom_site_fract_y
_atom_site_fract_z
Sr1 Sr 0.000 0.000 0.000
Cu1 Cu 0.500 0.500 0.299
Mo1 Mo 0.000 0.000 0.498
Mo2 Mo 0.500 0.500 0.661
# * energy of formation: 0.463 eV per atom



[2]
# PBE-GGA Tb2TiHgO6, relaxed
data_Tb2TiHgO6
_space_group_name_H-M_alt 'P 4 m m'
_space_group_IT_number 99
_cell_length_a 5.302
_cell_length_b 5.302
_cell_length_c 5.366
_cell_angle_alpha 90.00
_cell_angle_beta 90.00
_cell_angle_gamma 90.00
loop_
_space_group_symop_operation_xyz
'x,y,z'
'-y,x,z'
'-x,-y,z'
'y,-x,z'
'-x,y,z'
'y,x,z'
'x,-y,z'
'-y,-x,z'
loop_
_atom_site_label
_atom_site_type_symbol
_atom_site_fract_x
_atom_site_fract_y
_atom_site_fract_z
Tb1 Tb 0.000 0.500 0.000
Ti1 Ti 0.000 0.000 0.625
Hg1 Hg 0.500 0.500 0.529
O1 O 0.000 0.000 0.282
O2 O 0.235 0.235 0.772
O3 O 0.500 0.500 0.141
# * E_form (uncorrected): -2.56 eV per atom



| no. | density (Mg/m³) | DFT total energy (eV for the cell shown) | DOS at the Fermi energy (states/eV per atom) |
| --- | --- | --- | --- |
| 1 | 7.06 | -25.59 | 1.1482 |
| 2 | 7.29 | -72.78 | 0.0000 |